Record 1
{"formula": "Tb5In2Co2", "functional": "PBE", "state": "relaxed", "lattice_angstrom": [[1.675, 7.136, -0.569], [-2.438, 1.119, 6.849], [8.453, 2.017, 2.679]], "species": ["Tb", "Tb", "Tb", "Tb", "Tb", "Tb", "Tb", "Tb", "Tb", "Tb", "In", "In", "In", "In", "Co", "Co", "Co", "Co"], "frac_coords": [[0.000, 0.000, 0.000], [0.500, 0.500, 0.000], [0.432, 0.180, 0.767], [0.801, 0.820, 0.767], [0.301, 0.680, 0.767], [0.932, 0.320, 0.767], [0.568, 0.820, 0.233], [0.199, 0.180, 0.233], [0.699, 0.320, 0.233], [0.068, 0.680, 0.233], [0.227, 0.000, 0.545], [0.727, 0.500, 0.545], [0.773, 0.000, 0.455], [0.273, 0.500, 0.455], [0.111, 0.391, 0.000], [0.889, 0.609, 0.000], [0.389, 0.891, 0.000], [0.611, 0.109, 0.000]], "final_energy_ev_per_atom": -5.02, "total_magnetization_mub_per_atom": 0.00, "volume_a3_per_fu": 225}

Record 2
{"formula": "Y2TiAuO", "functional": "PBE", "state": "relaxed", "lattice_angstrom": [[-1.878, -3.340, 3.024], [4.453, -0.877, 1.797], [-0.566, 2.845, 2.791]], "species": ["Y", "Y", "Au", "O", "Ti"], "frac_coords": [[0.000, 0.500, 0.000], [0.500, 0.000, 0.000], [0.500, 0.500, 0.500], [0.000, 0.000, 0.000], [0.000, 0.000, 0.500]], "final_energy_ev_per_atom": -7.21, "total_magnetization_mub_per_atom": 0.39, "volume_a3_per_fu": 96, "raw_formation_energy_kj_per_mol_atoms": -134.5}

Record 3
{"formula": "Sr2MnSe", "functional": "PBE", "state": "relaxed", "lattice_angstrom": [[3.782, 0.209, 0.000], [-0.194, 3.783, 0.000], [0.000, 0.000, 8.985]], "species": ["Mn", "Se", "Sr", "Sr"], "frac_coords": [[0.000, 0.000, 0.557], [0.500, 0.500, 0.706], [0.000, 0.000, 0.915], [0.500, 0.500, 0.322]], "final_energy_ev_per_atom": -4.26, "total_magnetization_mub_per_atom": 1.14, "volume_a3_per_fu": 129, "raw_formation_energy_kj_per_mol_atoms": -24.6}

Record 4
{"formula": "Tb2NdSmTm2", "functional": "PBE", "state": "relaxed", "lattice_angstrom": [[3.401, 0.000, 0.000], [0.000, 6.523, 0.000], [0.000, 0.000, 17.917]], "species": ["Tb", "Tb", "Tb", "Tb", "Nd", "Nd", "Sm", "Sm", "Tm", "Tm", "Tm", "Tm"], "frac_coords": [[0.500, 0.278, 0.312], [0.000, 0.778, 0.188], [0.500, 0.722, 0.688], [0.000, 0.222, 0.812], [0.000, 0.000, 0.000], [0.500, 0.500, 0.500], [0.500, 0.500, 0.000], [0.000, 0.000, 0.500], [0.500, 0.779, 0.352], [0.500, 0.221, 0.648], [0.000, 0.721, 0.852], [0.000, 0.279, 0.148]], "final_energy_ev_per_atom": -4.34, "total_magnetization_mub_per_atom": 0.00, "volume_a3_per_fu": 199}

Record 5
{"formula": "DyLu2Au", "functional": "PBE", "state": "relaxed", "lattice_angstrom": [[-1.371, 4.458, -0.175], [-1.867, -0.408, 4.234], [4.029, 1.314, 1.904]], "species": ["Lu", "Lu", "Au", "Dy"], "frac_coords": [[0.000, 0.000, 0.500], [0.000, 0.500, 0.000], [0.500, 0.500, 0.500], [0.500, 0.000, 0.000]], "de_polymorph_mev_per_atom": 154, "final_energy_ev_per_atom": -4.49, "total_magnetization_mub_per_atom": 0.00, "volume_a3_per_fu": 101}

Record 6
{"formula": "Rb2PaMnS4", "functional": "PBE", "state": "relaxed", "lattice_angstrom": [[-2.174, 0.405, -3.274], [-3.527, -4.712, 1.759], [-3.302, 6.753, 3.027]], "species": ["Rb", "Rb", "Pa", "Mn", "S", "S", "S", "S"], "frac_coords": [[0.500, 0.000, 0.500], [0.000, 0.500, 0.500], [0.000, 0.000, 0.000], [0.500, 0.500, 0.000], [0.500, 0.261, 0.188], [0.500, 0.739, 0.812], [0.000, 0.301, 0.826], [0.000, 0.699, 0.174]], "final_energy_ev_per_atom": -5.68, "total_magnetization_mub_per_atom": 0.00, "volume_a3_per_fu": 188, "raw_formation_energy_kj_per_mol_atoms": -100.5}